TaNi2Au: relaxed, PBE.

E_tot   -6.84 eV/atom
N(E_F)   0.949 states/eV/atom
Calculated formation energy   -0.1639 eV per atom
Symmetry   I4/mmm, No. 139
Magnetic moment   0.0 Bohr magnetons per cell

Cell: 4.5713 4.5713 4.5713 Å, 128.67 128.66 75.55°
Closest atoms and distances in Å follow each position.
Sites, in units of the cell vectors:
Au (0.7500, 0.2500, 0.5000)  8 Ni 2.68, 4 Ta 2.80
Ni (0.0001, 0.0001, 0.0000)  4 Ta 2.68, 4 Au 2.68, 4 Ni 2.80
Ta (0.2500, 0.7500, 0.5000)  8 Ni 2.68, 4 Au 2.80
Ni (0.4999, 0.4999, 0.0000)  4 Ta 2.68, 4 Au 2.68, 4 Ni 2.80


TaNiAu2: relaxed, PBE.

E_tot   -5.82 eV/atom
N(E_F)   1.431 states/eV/atom
Calculated formation energy   0.2318 eV per atom
Symmetry   P4/mmm, No. 123
Magnetic moment   1.5 Bohr magnetons per cell

Cell: 3.8276 4.1481 4.1481 Å, 90.00 90.00 90.00°
Closest atoms and distances in Å follow each position.
Sites, in units of the cell vectors:
Ta (0.5000, 0.0000, 0.5000)  8 Au 2.82, 4 Ni 2.93
Au (0.0000, 0.0000, 0.0000)  4 Ta 2.82, 4 Ni 2.82, 4 Au 2.93
Au (0.0000, 0.5000, 0.5000)  4 Ta 2.82, 4 Ni 2.82, 4 Au 2.93
Ni (0.5000, 0.5000, 0.0000)  8 Au 2.82, 4 Ta 2.93


TaNiAu: relaxed, PBE.

E_tot   -7.06 eV/atom
N(E_F)   1.222 states/eV/atom
Excess energy over the best structure of this formula in the dataset   0.095 eV per atom
Calculated formation energy   -0.0864 eV per atom
Symmetry   I4mm, No. 107
Magnetic moment   0.0 Bohr magnetons per cell

Cell: 6.0551 6.0548 2.8558 Å, 76.37 76.35 27.28°
Closest atoms and distances in Å follow each position.
Sites, in units of the cell vectors:
Au (0.0083, 0.0083, 0.9917)  4 Ni 2.74, 4 Au 2.86, 4 Ta 2.94
Ta (0.3207, 0.3207, 0.6793)  4 Ni 2.65, 4 Ta 2.86, 4 Au 2.94
Ni (0.6710, 0.6710, 0.3290)  4 Ta 2.65, 4 Au 2.74, 4 Ni 2.86


TaNi2Au: relaxed, PBE.

E_tot   -6.36 eV/atom
N(E_F)   0.953 states/eV/atom
Calculated formation energy   0.3137 eV per atom
Symmetry   I-42d, No. 122
Magnetic moment   0.0 Bohr magnetons per cell

Cell: 6.8161 6.8161 5.5254 Å, 51.92 51.92 90.00°
Closest atoms and distances in Å follow each position.
Sites, in units of the cell vectors:
Ni (0.3750, 0.3901, 0.7500)  2 Ta 2.43, 2 Au 2.57, 2 Ni 2.71
Au (0.7500, 0.2500, 0.5000)  4 Ni 2.57, 2 Ta 2.70
Ni (0.1401, 0.6250, 0.2500)  2 Ta 2.43, 2 Au 2.57, 2 Ni 2.71
Au (0.0000, 0.0000, 0.0000)  4 Ni 2.57, 2 Ta 2.70
Ni (0.8750, 0.8599, 0.7500)  2 Ta 2.43, 2 Au 2.57, 2 Ni 2.71
Ni (0.6099, 0.1250, 0.2500)  2 Ta 2.43, 2 Au 2.57, 2 Ni 2.71
Ta (0.2500, 0.7500, 0.5000)  4 Ni 2.43, 2 Au 2.70
Ta (0.5000, 0.5000, 0.0000)  4 Ni 2.43, 2 Au 2.70


TaNiAu2: relaxed, PBE.

E_tot   -5.61 eV/atom
N(E_F)   1.147 states/eV/atom
Calculated formation energy   0.4369 eV per atom
Symmetry   I-42d, No. 122
Magnetic moment   0.0 Bohr magnetons per cell

Cell: 7.2687 7.2687 5.7815 Å, 51.05 51.05 90.00°
Closest atoms and distances in Å follow each position.
Sites, in units of the cell vectors:
Au (0.6050, 0.1250, 0.2500)  2 Ni 2.56, 2 Au 2.66, 2 Ta 2.76
Au (0.8750, 0.8550, 0.7500)  2 Ni 2.56, 2 Au 2.66, 2 Ta 2.76
Ni (0.2500, 0.7500, 0.5000)  4 Au 2.56, 2 Ta 2.65
Ta (0.7500, 0.2500, 0.5000)  2 Ni 2.65, 4 Au 2.76
Ta (0.0000, 0.0000, 0.0000)  2 Ni 2.65, 4 Au 2.76
Ni (0.5000, 0.5000, 0.0000)  4 Au 2.56, 2 Ta 2.65
Au (0.3750, 0.3950, 0.7500)  2 Ni 2.56, 2 Au 2.66, 2 Ta 2.76
Au (0.1450, 0.6250, 0.2500)  2 Ni 2.56, 2 Au 2.66, 2 Ta 2.76


TaNiAu2: relaxed, PBE.

E_tot   -5.86 eV/atom
N(E_F)   1.133 states/eV/atom
Calculated formation energy   0.1856 eV per atom
Symmetry   P4/mmm, No. 123
Magnetic moment   0.7 Bohr magnetons per cell

Cell: 4.8209 4.8209 2.8672 Å, 90.00 90.00 90.00°
Closest atoms and distances in Å follow each position.
Sites, in units of the cell vectors:
Ta (0.0000, 0.5000, 0.5000)  8 Au 2.80, 2 Ta 2.87
Au (0.5000, 0.5000, 0.0000)  4 Ta 2.80, 4 Ni 2.80, 2 Au 2.87
Ni (0.5000, 0.0000, 0.5000)  8 Au 2.80, 2 Ni 2.87
Au (0.0000, 0.0000, 0.0000)  4 Ta 2.80, 4 Ni 2.80, 2 Au 2.87


TaNi2Au: relaxed, PBE.

E_tot   -6.51 eV/atom
N(E_F)   1.257 states/eV/atom
Calculated formation energy   0.1618 eV per atom
Symmetry   R3m, No. 160
Magnetic moment   0.1 Bohr magnetons per cell

Cell: 8.8266 8.8266 8.8266 Å, 18.30 18.30 18.30°
Closest atoms and distances in Å follow each position.
Sites, in units of the cell vectors:
Ta (0.5069, 0.5069, 0.5069)  3 Ni 2.65, 6 Ta 2.81
Ni (0.9944, 0.9944, 0.9944)  9 Ni 2.51-2.81, 3 Au 2.72
Au (0.7448, 0.7448, 0.7448)  3 Ni 2.72, 6 Au 2.81, 3 Ta 2.97
Ni (0.2539, 0.2539, 0.2539)  9 Ni 2.51-2.81, 3 Ta 2.65


TaNiAu2: relaxed, PBE.

E_tot   -6.13 eV/atom
N(E_F)   0.554 states/eV/atom
Calculated formation energy   -0.0854 eV per atom
Symmetry   P4mm, No. 99
Magnetic moment   0.0 Bohr magnetons per cell

Cell: 2.8648 2.8648 7.8969 Å, 90.00 90.00 89.98°
Closest atoms and distances in Å follow each position.
Sites, in units of the cell vectors:
Au (0.0000, 0.0000, 0.9919)  8 Au 2.86-3.02, 4 Ta 2.93
Ta (0.5000, 0.5000, 0.7243)  4 Ni 2.65, 4 Ta 2.86, 4 Au 2.93
Au (0.5000, 0.5000, 0.2757)  4 Ni 2.73, 8 Au 2.86-3.02
Ni (0.0000, 0.0000, 0.5081)  4 Ta 2.65, 4 Au 2.73, 4 Ni 2.86


TaNi2Au: relaxed, PBE.

E_tot   -6.74 eV/atom
N(E_F)   0.817 states/eV/atom
Calculated formation energy   -0.0676 eV per atom
Symmetry   Amm2, No. 38
Magnetic moment   0.0 Bohr magnetons per cell

Cell: 4.1104 2.8072 5.1539 Å, 74.17 90.00 90.00°
Closest atoms and distances in Å follow each position.
Sites, in units of the cell vectors:
Ni (0.0000, 0.1888, 0.9978)  2 Ni 2.43, 3 Ta 2.67-2.68, 4 Au 2.70
Ni (0.5000, 0.0581, 0.2585)  2 Ni 2.43, 1 Au 2.62, 4 Ta 2.68
Au (0.5000, 0.7944, 0.7867)  7 Ni 2.62-2.73, 2 Au 2.81
Ta (0.0000, 0.4586, 0.4570)  7 Ni 2.67-2.68, 2 Ta 2.81, 4 Au 2.98


TaNiAu: relaxed, PBE.

E_tot   -7.15 eV/atom
N(E_F)   0.692 states/eV/atom
Excess energy over the best structure of this formula in the dataset   0.000 eV per atom
Calculated formation energy   -0.1811 eV per atom
Symmetry   C2/m, No. 12
Magnetic moment   0.0 Bohr magnetons per cell

Cell: 2.9815 4.8102 7.4647 Å, 113.10 90.00 108.05°
Closest atoms and distances in Å follow each position.
Sites, in units of the cell vectors:
Ta (0.9957, 0.9914, 0.2198)  5 Ni 2.57-2.73, 3 Au 2.80-2.84
Ni (0.6691, 0.3382, 0.0750)  5 Ta 2.57-2.73, 3 Ni 2.65-2.82, 2 Au 2.73
Au (0.3318, 0.6635, 0.4047)  2 Ni 2.73, 5 Ta 2.80-2.99, 5 Au 2.81-2.98
Ni (0.3309, 0.6618, 0.9250)  5 Ta 2.57-2.73, 3 Ni 2.65-2.82, 2 Au 2.73
Au (0.6682, 0.3365, 0.5953)  2 Ni 2.73, 5 Ta 2.80-2.99, 5 Au 2.81-2.98
Ta (0.0043, 0.0086, 0.7802)  5 Ni 2.57-2.73, 3 Au 2.80-2.84


TaNiAu2: relaxed, PBE.

E_tot   -5.85 eV/atom
N(E_F)   0.813 states/eV/atom
Calculated formation energy   0.2011 eV per atom
Symmetry   Pmmm, No. 47
Magnetic moment   0.0 Bohr magnetons per cell

Cell: 2.9081 4.6867 4.8544 Å, 90.00 90.00 90.00°
Closest atoms and distances in Å follow each position.
Sites, in units of the cell vectors:
Ta (0.0000, 0.5000, 0.5000)  4 Ni 2.76, 4 Au 2.83, 2 Ta 2.91
Ni (0.5000, 0.0000, 0.5000)  4 Ta 2.76, 4 Au 2.83, 2 Ni 2.91
Au (0.5000, 0.5000, 0.0000)  6 Au 2.76-2.91, 4 Ta 2.83
Au (0.0000, 0.0000, 0.0000)  6 Au 2.76-2.91, 4 Ni 2.83


TaNiAu: relaxed, PBE.

E_tot   -6.79 eV/atom
N(E_F)   1.731 states/eV/atom
Excess energy over the best structure of this formula in the dataset   0.362 eV per atom
Calculated formation energy   0.1812 eV per atom
Symmetry   F-43m, No. 216
Magnetic moment   0.0 Bohr magnetons per cell

Cell: 4.1821 4.1821 4.1821 Å, 60.00 60.00 60.00°
Closest atoms and distances in Å follow each position.
Sites, in units of the cell vectors:
Ta (0.0000, 0.0000, 0.0000)  4 Ni 2.56
Ni (0.7500, 0.7500, 0.7500)  4 Ta 2.56, 4 Au 2.56
Au (0.5000, 0.5000, 0.5000)  4 Ni 2.56